The following is a DFT calculation (PBEsol) of an optimized crystal structure of AlGaN2.

Cell: 3.145 3.145 5.096 Å, 90.00 90.00 120.00°
Positions (direct):
Al  0.000  0.000  0.000
Ga  0.333  0.667  0.503
N  0.333  0.667  0.887
N  0.000  0.000  0.373

Properties
For the formation energy without anion corrections, the calculation gives -413 kJ/mol of formula units. As for the crystal system: trigonal. Its energy above the most stable polymorph in this dataset is 0.0 meV/atom. As for the energy: -7.19 eV per atom.

---

The following is a DFT calculation (PBEsol) of an optimized crystal structure of AlGaS2N.

Cell: 3.640 4.787 4.787 Å, 90.00 90.00 90.00°
Each line ends with the local moment (μB).
Positions (direct):
S  0.000  0.000  0.500  0.14
S  0.000  0.500  0.000  0.14
Al  0.500  0.500  0.500  0.00
Ga  0.000  0.000  0.000  0.01
N  0.500  0.000  0.000  0.88

Properties
For the formation energy without anion corrections, the calculation gives 244 kJ/mol of formula units. As for the crystal system: tetragonal. As for the energy: -4.44 eV per atom.

---

The following is a DFT calculation (PBEsol) of an optimized crystal structure of Zr2AlGaN.

Cell: 3.454 5.193 5.193 Å, 90.00 90.00 90.00°
Positions (direct):
N  0.500  0.000  0.000
Ga  0.500  0.500  0.500
Zr  0.000  0.000  0.500
Zr  0.000  0.500  0.000
Al  0.000  0.000  0.000

Properties
For the formation energy without anion corrections, the calculation gives 220 kJ/mol of formula units. As for the crystal system: tetragonal. As for the energy: -6.37 eV per atom.

---

The following is a DFT calculation (PBEsol) of an optimized crystal structure of NaAl2GaO.

Cell: 4.133 4.133 4.344 Å, 90.00 90.00 90.00°
Positions (direct):
O  0.000  0.000  0.000
Na  0.000  0.000  0.500
Al  0.000  0.500  0.000
Al  0.500  0.000  0.000
Ga  0.500  0.500  0.500

Properties
For the formation energy without anion corrections, the calculation gives -268 kJ/mol of formula units. As for the crystal system: tetragonal. As for the energy: -4.19 eV per atom.

---

The following is a DFT calculation (PBEsol) of an optimized crystal structure of Nb12Al3Ga.

Cell: 5.155 5.158 10.302 Å, 90.00 90.00 90.00°
Positions (direct):
Nb  0.500  0.000  0.374
Nb  0.500  0.000  0.874
Nb  0.750  0.500  0.000
Nb  0.748  0.500  0.500
Nb  0.000  0.748  0.251
Nb  0.000  0.748  0.749
Nb  0.500  0.000  0.126
Nb  0.500  0.000  0.626
Nb  0.250  0.500  0.000
Nb  0.252  0.500  0.500
Nb  0.000  0.252  0.251
Nb  0.000  0.252  0.749
Al  0.500  0.500  0.250
Al  0.500  0.500  0.750
Al  0.000  0.000  0.000
Ga  0.000  0.000  0.500

Properties
The value obtained for the calculated formation energy is -0.185 eV per atom. As for the crystal system: orthorhombic. As for the energy: -9.28 eV per atom.

---

The following is a DFT calculation (PBEsol) of an optimized crystal structure of NbAl2Ga.

Cell: 5.308 5.742 5.742 Å, 77.66 62.47 62.47°
Positions (direct):
Nb  0.750  0.500  0.500
Nb  0.000  0.000  0.000
Al  0.149  0.976  0.476
Al  0.601  0.024  0.524
Al  0.375  0.476  0.024
Al  0.875  0.524  0.976
Ga  0.250  0.500  0.500
Ga  0.500  0.000  0.000

Properties
The value obtained for the calculated formation energy is 0.164 eV per atom. As for the crystal system: tetragonal. As for the energy: -5.42 eV per atom.

---

The following is a DFT calculation (PBEsol) of an optimized crystal structure of Nb6AlGa.

Cell: 5.148 5.148 5.148 Å, 90.00 90.00 90.00°
Positions (direct):
Nb  0.000  0.500  0.748
Nb  0.500  0.252  0.000
Nb  0.748  0.000  0.500
Nb  0.000  0.500  0.252
Nb  0.500  0.748  0.000
Nb  0.252  0.000  0.500
Al  0.500  0.500  0.500
Ga  0.000  0.000  0.000

Properties
The value obtained for the calculated formation energy is -0.193 eV per atom. As for the crystal system: cubic. As for the energy: -9.24 eV per atom.

---

The following is a DFT calculation (PBEsol) of an optimized crystal structure of NdAl2Ga2.

Cell: 4.144 4.144 6.318 Å, 109.15 109.15 90.00°
Positions (direct):
Nd  0.000  0.000  0.000
Al  0.250  0.750  0.500
Al  0.750  0.250  0.500
Ga  0.390  0.390  0.780
Ga  0.610  0.610  0.220

Properties
The value obtained for the calculated formation energy is -0.475 eV per atom. As for the crystal system: tetragonal. As for the energy: -4.48 eV per atom.

---

The following is a DFT calculation (PBEsol) of an optimized crystal structure of Nd2Al3Ga.

Cell: 5.586 5.586 5.619 Å, 60.19 60.19 60.00°
Positions (direct):
Nd  0.124  0.124  0.627
Nd  0.876  0.876  0.373
Al  0.500  0.500  0.000
Al  0.000  0.500  0.000
Al  0.500  0.000  0.000
Ga  0.500  0.500  0.500

Properties
The value obtained for the calculated formation energy is -0.550 eV per atom. As for the crystal system: trigonal. Its energy above the most stable polymorph in this dataset is 0.0 meV/atom. As for the energy: -4.87 eV per atom.

---

The following is a DFT calculation (PBEsol) of an optimized crystal structure of Nd2Al3Ga.

Cell: 3.715 4.516 7.816 Å, 90.00 90.00 90.00°
Positions (direct):
Nd  0.000  0.500  0.002
Nd  0.000  0.000  0.498
Al  0.500  0.000  0.833
Al  0.500  0.000  0.168
Al  0.500  0.500  0.665
Ga  0.500  0.500  0.334

Properties
The value obtained for the calculated formation energy is -0.539 eV per atom. As for the crystal system: orthorhombic. Its energy above the most stable polymorph in this dataset is 10.6 meV/atom. As for the energy: -4.86 eV per atom.

---

The following is a DFT calculation (PBEsol) of an optimized crystal structure of AlGaNi2.

Cell: 4.049 4.049 4.049 Å, 60.00 60.00 60.00°
Positions (direct):
Ni  0.250  0.250  0.250
Ni  0.750  0.750  0.750
Al  0.000  0.000  0.000
Ga  0.500  0.500  0.500

Properties
The value obtained for the calculated formation energy is -0.551 eV per atom. As for the crystal system: cubic. As for the energy: -5.49 eV per atom.

---

The following is a DFT calculation (PBEsol) of an optimized crystal structure of Al2GaO.

Cell: 4.289 4.289 4.289 Å, 60.00 60.00 60.00°
Positions (direct):
O  0.000  0.000  0.000
Al  0.250  0.250  0.250
Al  0.750  0.750  0.750
Ga  0.500  0.500  0.500

Properties
For the formation energy without anion corrections, the calculation gives 3 kJ/mol of formula units. As for the crystal system: cubic. As for the energy: -4.18 eV per atom.

---

The following is a DFT calculation (PBEsol) of an optimized crystal structure of Al3GaO.

Cell: 4.685 4.685 4.685 Å, 90.00 90.00 90.00°
Positions (direct):
O  0.500  0.500  0.500
Al  0.000  0.500  0.000
Al  0.000  0.000  0.500
Al  0.500  0.000  0.000
Ga  0.000  0.000  0.000

Properties
For the formation energy without anion corrections, the calculation gives 384 kJ/mol of formula units. As for the crystal system: cubic. As for the energy: -3.38 eV per atom.

---

The following is a DFT calculation (PBEsol) of an optimized crystal structure of Al2Ga2O.

Cell: 3.498 3.498 7.403 Å, 103.67 103.67 90.00°
Positions (direct):
O  0.000  0.000  0.000
Al  0.250  0.750  0.500
Al  0.750  0.250  0.500
Ga  0.414  0.414  0.829
Ga  0.586  0.586  0.171

Properties
For the formation energy without anion corrections, the calculation gives 133 kJ/mol of formula units. As for the crystal system: tetragonal. As for the energy: -3.75 eV per atom.

---

The following is a DFT calculation (PBEsol) of an optimized crystal structure of Y2AlGaO.

Cell: 3.494 5.650 5.650 Å, 90.00 90.00 90.00°
Each line ends with the local moment (μB).
Positions (direct):
Y  0.000  0.000  0.500  0.19
Y  0.000  0.500  0.000  0.19
O  0.500  0.000  0.000  0.01
Al  0.000  0.000  0.000  0.02
Ga  0.500  0.500  0.500  0.00

Properties
For the formation energy without anion corrections, the calculation gives -190 kJ/mol of formula units. As for the crystal system: tetragonal. As for the energy: -5.66 eV per atom.

---

The following is a DFT calculation (PBEsol) of an optimized crystal structure of AlGa3P.

Cell: 4.738 4.738 4.738 Å, 90.00 90.00 90.00°
Positions (direct):
P  0.000  0.000  0.000
Al  0.500  0.500  0.500
Ga  0.000  0.500  0.000
Ga  0.000  0.000  0.500
Ga  0.500  0.000  0.000

Properties
The value obtained for the calculated formation energy is 0.435 eV per atom. As for the crystal system: cubic. As for the energy: -3.55 eV per atom.

---

The following is a DFT calculation (PBEsol) of an optimized crystal structure of AlGaP2.

Cell: 5.452 5.452 6.679 Å, 114.09 114.09 90.00°
Positions (direct):
P  0.374  0.875  0.250
P  0.876  0.375  0.250
P  0.125  0.124  0.750
P  0.625  0.626  0.750
Al  0.750  0.250  0.500
Al  0.500  0.500  0.000
Ga  0.250  0.750  0.500
Ga  0.000  0.000  0.000

Properties
The value obtained for the calculated formation energy is -0.472 eV per atom. As for the crystal system: tetragonal. As for the energy: -5.23 eV per atom.

---

The following is a DFT calculation (PBEsol) of an optimized crystal structure of AlGaP2.

Cell: 3.857 3.857 5.449 Å, 90.00 90.00 90.00°
Positions (direct):
P  0.000  0.500  0.249
P  0.500  0.000  0.751
Al  0.500  0.500  0.500
Ga  0.000  0.000  0.000

Properties
The value obtained for the calculated formation energy is -0.472 eV per atom. As for the crystal system: tetragonal. As for the energy: -5.23 eV per atom.

---

The following is a DFT calculation (PBEsol) of an optimized crystal structure of AlGaP3.

Cell: 4.615 4.615 4.615 Å, 90.00 90.00 90.00°
Positions (direct):
P  0.000  0.500  0.000
P  0.000  0.000  0.500
P  0.500  0.000  0.000
Al  0.000  0.000  0.000
Ga  0.500  0.500  0.500

Properties
The value obtained for the calculated formation energy is 0.678 eV per atom. As for the crystal system: cubic. As for the energy: -4.28 eV per atom.

---

The following is a DFT calculation (PBEsol) of an optimized crystal structure of AlGaPd3.

Cell: 4.503 4.503 4.503 Å, 90.00 90.00 90.00°
Positions (direct):
Ga  0.000  0.000  0.000
Pd  0.000  0.500  0.000
Pd  0.000  0.000  0.500
Pd  0.500  0.000  0.000
Al  0.500  0.500  0.500

Properties
The value obtained for the calculated formation energy is 0.190 eV per atom. As for the crystal system: cubic. As for the energy: -4.87 eV per atom.

---

The following is a DFT calculation (PBEsol) of an optimized crystal structure of Pm2AlGa.

Cell: 5.133 5.133 5.133 Å, 60.00 60.00 60.00°
Positions (direct):
Al  0.500  0.500  0.500
Ga  0.000  0.000  0.000
Pm  0.250  0.250  0.250
Pm  0.750  0.750  0.750

Properties
The value obtained for the calculated formation energy is -0.472 eV per atom. As for the crystal system: cubic. As for the energy: -4.90 eV per atom.

---

The following is a DFT calculation (PBEsol) of an optimized crystal structure of Al2Ga2Pt.

Cell: 3.481 3.481 7.300 Å, 103.79 103.79 90.00°
Positions (direct):
Pt  0.000  0.000  0.000
Ga  0.250  0.750  0.500
Ga  0.750  0.250  0.500
Al  0.406  0.406  0.813
Al  0.594  0.594  0.187

Properties
The value obtained for the calculated formation energy is -0.047 eV per atom. As for the crystal system: tetragonal. As for the energy: -4.41 eV per atom.

---

The following is a DFT calculation (PBEsol) of an optimized crystal structure of Rb3AlGa.

Cell: 6.603 6.603 6.603 Å, 90.00 90.00 90.00°
Each line ends with the local moment (μB).
Positions (direct):
Ga  0.000  0.000  0.000  -0.16
Rb  0.000  0.500  0.000  -0.01
Rb  0.000  0.000  0.500  -0.01
Rb  0.500  0.000  0.000  -0.01
Al  0.500  0.500  0.500  0.09

Properties
The value obtained for the calculated formation energy is 0.646 eV per atom. As for the crystal system: cubic. As for the energy: -1.46 eV per atom.

---

The following is a DFT calculation (PBEsol) of an optimized crystal structure of RbAl3Ga.

Cell: 5.745 5.745 5.745 Å, 90.00 90.00 90.00°
Positions (direct):
Ga  0.500  0.500  0.500
Rb  0.000  0.000  0.000
Al  0.000  0.500  0.000
Al  0.000  0.000  0.500
Al  0.500  0.000  0.000

Properties
The value obtained for the calculated formation energy is 1.753 eV per atom. As for the crystal system: cubic. As for the energy: -1.57 eV per atom.

---

The following is a DFT calculation (PBEsol) of an optimized crystal structure of AlGaReS2.

Cell: 4.406 4.406 4.977 Å, 90.00 90.00 90.00°
Each line ends with the local moment (μB).
Positions (direct):
Re  0.000  0.000  0.500  1.59
S  0.000  0.500  0.000  0.04
S  0.500  0.000  0.000  0.04
Al  0.000  0.000  0.000  -0.01
Ga  0.500  0.500  0.500  -0.02

Properties
For the formation energy without anion corrections, the calculation gives 502 kJ/mol of formula units. As for the crystal system: tetragonal. As for the energy: -4.86 eV per atom.

---

The following is a DFT calculation (PBEsol) of an optimized crystal structure of AlGaReSb2.

Cell: 4.570 5.153 5.153 Å, 90.00 90.00 90.00°
Each line ends with the local moment (μB).
Positions (direct):
Re  0.500  0.500  0.500  2.81
Al  0.000  0.000  0.000  0.00
Ga  0.500  0.000  0.000  -0.01
Sb  0.000  0.000  0.500  -0.06
Sb  0.000  0.500  0.000  -0.06

Properties
For the formation energy without anion corrections, the calculation gives 712 kJ/mol of formula units. As for the crystal system: tetragonal. As for the energy: -4.50 eV per atom.

---

The following is a DFT calculation (PBEsol) of an optimized crystal structure of AlGa3Rh.

Cell: 4.708 4.708 4.708 Å, 90.00 90.00 90.00°
Positions (direct):
Rh  0.000  0.000  0.000
Al  0.500  0.500  0.500
Ga  0.000  0.500  0.000
Ga  0.000  0.000  0.500
Ga  0.500  0.000  0.000

Properties
The value obtained for the calculated formation energy is 0.033 eV per atom. As for the crystal system: cubic. As for the energy: -4.42 eV per atom.

---

The following is a DFT calculation (PBEsol) of an optimized crystal structure of AlGaRh3.

Cell: 4.418 4.418 4.418 Å, 90.00 90.00 90.00°
Positions (direct):
Rh  0.000  0.500  0.000
Rh  0.000  0.000  0.500
Rh  0.500  0.000  0.000
Al  0.500  0.500  0.500
Ga  0.000  0.000  0.000

Properties
The value obtained for the calculated formation energy is 0.536 eV per atom. As for the crystal system: cubic. As for the energy: -5.83 eV per atom.